# HgAu3 (PBEsol, optimized geometry)
# total magnetic moment: 0.000 Bohr magnetons per cell
# final energy: -3.059 eV per atom
data_HgAu3
_symmetry_space_group_name_H-M 'P 63/m m c'
_symmetry_Int_Tables_number 194
_symmetry_space_group_name_Hall '-P 6c 2c'
_cell_length_a 5.8038
_cell_length_b 5.8038
_cell_length_c 4.8658
_cell_angle_alpha 90.00
_cell_angle_beta 90.00
_cell_angle_gamma 120.00
loop_
_atom_site_label
_atom_site_type_symbol
_atom_site_fract_x
_atom_site_fract_y
_atom_site_fract_z
_atom_site_occupancy
Hg1 Hg 0.3333 0.6667 0.2500 1
Au1 Au 0.1652 0.3305 0.7500 1

# HgAu2 (PBEsol, optimized geometry)
# total magnetic moment: 0.000 Bohr magnetons per cell
# final energy: -2.756 eV per atom
data_HgAu2
_symmetry_space_group_name_H-M 'I m m m'
_symmetry_Int_Tables_number 71
_symmetry_space_group_name_Hall '-I 2 2'
_cell_length_a 2.9731
_cell_length_b 4.1465
_cell_length_c 8.8078
_cell_angle_alpha 90.00
_cell_angle_beta 90.00
_cell_angle_gamma 90.00
loop_
_atom_site_label
_atom_site_type_symbol
_atom_site_fract_x
_atom_site_fract_y
_atom_site_fract_z
_atom_site_occupancy
Hg1 Hg 0.0000 0.0000 0.0000 1
Au1 Au 0.0000 0.0000 0.3313 1

# Hg2Au (PBEsol, optimized geometry)
# total magnetic moment: 0.000 Bohr magnetons per cell
# final energy: -1.629 eV per atom
data_Hg2Au
_symmetry_space_group_name_H-M 'I m m a'
_symmetry_Int_Tables_number 74
_symmetry_space_group_name_Hall '-I 2b 2'
_cell_length_a 2.8674
_cell_length_b 3.7705
_cell_length_c 23.8072
_cell_angle_alpha 90.00
_cell_angle_beta 90.00
_cell_angle_gamma 90.00
loop_
_atom_site_label
_atom_site_type_symbol
_atom_site_fract_x
_atom_site_fract_y
_atom_site_fract_z
_atom_site_occupancy
Hg1 Hg 0.0000 0.2500 0.0477 1
Hg2 Hg 0.0000 0.2500 0.1961 1
Au1 Au 0.0000 0.2500 0.6233 1

# HgAu2 (PBEsol, optimized geometry)
# total magnetic moment: 0.000 Bohr magnetons per cell
# final energy: -2.759 eV per atom
data_HgAu2
_symmetry_space_group_name_H-M 'C 1 m 1'
_symmetry_Int_Tables_number 8
_symmetry_space_group_name_Hall 'C -2y'
_cell_length_a 10.7958
_cell_length_b 2.9767
_cell_length_c 6.9963
_cell_angle_alpha 90.00
_cell_angle_beta 104.89
_cell_angle_gamma 90.00
loop_
_atom_site_label
_atom_site_type_symbol
_atom_site_fract_x
_atom_site_fract_y
_atom_site_fract_z
_atom_site_occupancy
Hg1 Hg 0.0000 0.0000 0.0000 1
Hg2 Hg 0.1735 0.5000 0.3462 1
Au1 Au 0.1195 0.5000 0.7299 1
Au2 Au 0.2804 0.0000 0.0626 1
Au3 Au 0.3399 0.0000 0.6735 1
Au4 Au 0.4497 0.5000 0.4006 1

# Hg2Au (PBEsol, optimized geometry)
# total magnetic moment: 0.000 Bohr magnetons per cell
# final energy: -1.627 eV per atom
data_Hg2Au
_symmetry_space_group_name_H-M 'P -6 2 m'
_symmetry_Int_Tables_number 189
_symmetry_space_group_name_Hall 'P -6 -2'
_cell_length_a 7.6105
_cell_length_b 7.6105
_cell_length_c 3.7657
_cell_angle_alpha 90.00
_cell_angle_beta 90.00
_cell_angle_gamma 120.00
loop_
_atom_site_label
_atom_site_type_symbol
_atom_site_fract_x
_atom_site_fract_y
_atom_site_fract_z
_atom_site_occupancy
Hg1 Hg 0.0000 0.2755 0.0000 1
Hg2 Hg 0.0000 0.6068 0.5000 1
Au1 Au 0.0000 0.0000 0.5000 1
Au2 Au 0.3333 0.6667 0.0000 1

# HgAu2 (PBEsol, optimized geometry)
# total magnetic moment: 0.000 Bohr magnetons per cell
# final energy: -2.749 eV per atom
data_HgAu2
_symmetry_space_group_name_H-M 'I 4/m m m'
_symmetry_Int_Tables_number 139
_symmetry_space_group_name_Hall '-I 4 2'
_cell_length_a 2.9937
_cell_length_b 2.9937
_cell_length_c 12.1543
_cell_angle_alpha 90.00
_cell_angle_beta 90.00
_cell_angle_gamma 90.00
loop_
_atom_site_label
_atom_site_type_symbol
_atom_site_fract_x
_atom_site_fract_y
_atom_site_fract_z
_atom_site_occupancy
Hg1 Hg 0.0000 0.0000 0.0000 1
Au1 Au 0.0000 0.0000 0.3298 1

# Hg3Au5 (PBEsol, optimized geometry)
# total magnetic moment: 0.000 Bohr magnetons per cell
# final energy: -2.580 eV per atom
data_Hg3Au5
_symmetry_space_group_name_H-M 'C 1 2/m 1'
_symmetry_Int_Tables_number 12
_symmetry_space_group_name_Hall '-C 2y'
_cell_length_a 5.9350
_cell_length_b 13.5330
_cell_length_c 7.9448
_cell_angle_alpha 90.00
_cell_angle_beta 96.98
_cell_angle_gamma 90.00
loop_
_atom_site_label
_atom_site_type_symbol
_atom_site_fract_x
_atom_site_fract_y
_atom_site_fract_z
_atom_site_occupancy
Hg1 Hg 0.0000 0.1808 0.0000 1
Hg2 Hg 0.0000 0.2962 0.5000 1
Hg3 Hg 0.2258 0.5000 0.6179 1
Au1 Au 0.0583 0.3616 0.8337 1
Au2 Au 0.1248 0.1177 0.6627 1
Au3 Au 0.2296 0.0000 0.9422 1

# HgAu2 (PBEsol, optimized geometry)
# total magnetic moment: 0.000 Bohr magnetons per cell
# final energy: -2.738 eV per atom
data_HgAu2
_symmetry_space_group_name_H-M 'P -6 2 m'
_symmetry_Int_Tables_number 189
_symmetry_space_group_name_Hall 'P -6 -2'
_cell_length_a 7.9580
_cell_length_b 7.9580
_cell_length_c 2.9894
_cell_angle_alpha 90.00
_cell_angle_beta 90.00
_cell_angle_gamma 120.00
loop_
_atom_site_label
_atom_site_type_symbol
_atom_site_fract_x
_atom_site_fract_y
_atom_site_fract_z
_atom_site_occupancy
Hg1 Hg 0.0000 0.0000 0.0000 1
Hg2 Hg 0.3333 0.6667 0.5000 1
Au1 Au 0.0000 0.3599 0.0000 1
Au2 Au 0.0000 0.6924 0.5000 1

total magnetic moment of number 2 (HgAu2)?
0.000 Bohr magnetons per cell